Entry from Alexandria via LeMat-Bulk: a geometry-optimized TaMnO2 structure (PBE with a Hubbard U).

Calculated values
* density: 9.1 g cm⁻³
* total moment: 4.20 μB/f.u.
* energy relative to the lowest polymorph listed for this composition: 39 kJ/mol of formula units

Cell: 6.9055 6.9055 6.9055 Å, 24.30 24.30 24.30°
With the nearest neighbours (Å) after each atom.
Positions (direct):
Mn 0.0000 0.0000 0.0000  2 O 1.99
O 0.9009 0.9009 0.9009  1 Mn 1.99, 3 Ta 2.16
O 0.0991 0.0991 0.0991  1 Mn 1.99, 3 Ta 2.16
Ta 0.5000 0.5000 0.5000  6 O 2.16